Cr2FePdO8 | PBE with a Hubbard U | optimized geometry

Values from the calculation:
Density of states at the Fermi level in states/eV per cell: 3.8
E in eV per formula unit: -77.62

Cell lengths 4.488, 4.481, 6.026 Å; angles 90.00, 90.00, 89.48 degrees
Site moments in Bohr magnetons follow the coordinates.
Atoms (fractional coordinates):
Cr 0.500 0.500 0.745  2.22
O 0.306 0.305 0.500  -0.17
Cr 0.500 0.500 0.255  2.22
O 0.801 0.200 0.742  -0.16
O 0.801 0.200 0.258  -0.16
O 0.694 0.695 0.500  -0.17
O 0.199 0.800 0.258  -0.16
Pd 0.000 0.000 0.000  -0.10
O 0.312 0.311 0.000  -0.17
O 0.199 0.800 0.742  -0.16
Fe 0.000 0.000 0.500  1.08
O 0.688 0.689 0.000  -0.17